A plane-wave DFT calculation with PBE was carried out for NaPmPr after structural relaxation.

Summary:
* uncorrected energy: -3.490 eV/atom
* V: 35.902 Å³ per atom
* offset from the most stable computed form: 0.06 eV per formula unit
* total moment: 0.0 μB per cell

abc: 10.0115 10.0115 5.9403
angles: 90.17 90.17 21.21
Element x y z (fractional)
1 Na 0.2237 0.2237 0.2507
2 Na 0.7763 0.7763 0.7493
3 Pm 0.1034 0.1034 0.7502
4 Pm 0.8966 0.8966 0.2498
5 Pr 0.4449 0.4449 0.7494
6 Pr 0.5551 0.5551 0.2506



A plane-wave DFT calculation with PBE was carried out for LaLuCuPt after structural relaxation.

Summary:
* uncorrected energy: -5.599 eV/atom
* V: 22.291 Å³ per atom
* total moment: 0.0 μB per cell

abc: 5.0145 5.0145 5.0145
angles: 60.00 60.00 60.00
Element x y z (fractional)
1 La 0.0000 0.0000 0.0000
2 Lu 0.5000 0.5000 0.5000
3 Cu 0.7500 0.7500 0.7500
4 Pt 0.2500 0.2500 0.2500



A plane-wave DFT calculation with PBE was carried out for FeBPAuC2 after structural relaxation.

Summary:
* uncorrected energy: -6.506 eV/atom
* V: 11.201 Å³ per atom
* offset from the most stable computed form: 1.37 eV per formula unit
* total moment: 0.0 μB per cell

abc: 4.4469 2.9383 5.2676
angles: 90.00 102.46 90.00
Element x y z (fractional)
1 Fe 0.0000 0.0000 0.0000
2 B 0.2513 0.5000 0.2956
3 P 0.5994 0.5000 0.8638
4 Au 0.8915 0.0000 0.4569
5 C 0.2701 0.5000 0.9982
6 C 0.5355 0.5000 0.5227



A plane-wave DFT calculation with PBE was carried out for La4ZnCu after structural relaxation.

Summary:
* uncorrected energy: -4.139 eV/atom
* V: 31.695 Å³ per atom
* offset from the most stable computed form: 1.07 eV per formula unit
* total moment: 0.0 μB per cell

abc: 5.1039 5.1039 7.3005
angles: 90.07 90.07 90.01
Element x y z (fractional)
1 La 0.0005 0.4993 0.2411
2 La 0.4993 0.0005 0.2411
3 La 0.5007 0.9995 0.7589
4 La 0.9995 0.5007 0.7589
5 Zn 0.0000 0.0000 0.5000
6 Cu 0.5000 0.5000 0.0000



A plane-wave DFT calculation with PBE was carried out for Sm3PuPd12 after structural relaxation.

Summary:
* uncorrected energy: -6.426 eV/atom
* V: 18.051 Å³ per atom
* total moment: 4.3 μB per cell

abc: 4.1605 4.1605 16.6850
angles: 90.00 90.00 90.00
Element x y z (fractional)
1 Sm 0.0000 0.0000 0.0000
2 Sm 0.0000 0.0000 0.2500
3 Sm 0.0000 0.0000 0.7500
4 Pu 0.0000 0.0000 0.5000
5 Pd 0.0000 0.5000 0.1257
6 Pd 0.0000 0.5000 0.3784
7 Pd 0.0000 0.5000 0.6216
8 Pd 0.0000 0.5000 0.8743
9 Pd 0.5000 0.0000 0.1257
10 Pd 0.5000 0.0000 0.3784
11 Pd 0.5000 0.0000 0.6216
12 Pd 0.5000 0.0000 0.8743
13 Pd 0.5000 0.5000 0.0000
14 Pd 0.5000 0.5000 0.2513
15 Pd 0.5000 0.5000 0.5000
16 Pd 0.5000 0.5000 0.7487



A plane-wave DFT calculation with PBE was carried out for HfMoC2 after structural relaxation.

Summary:
* uncorrected energy: -9.353 eV/atom
* V: 10.997 Å³ per atom
* offset from the most stable computed form: 3.58 eV per formula unit
* total moment: 0.0 μB per cell

abc: 3.9624 3.9624 3.9624
angles: 60.00 60.00 60.00
Element x y z (fractional)
1 Hf 0.0000 0.0000 0.0000
2 Mo 0.5000 0.5000 0.5000
3 C 0.2500 0.2500 0.2500
4 C 0.7500 0.7500 0.7500



A plane-wave DFT calculation with PBE was carried out for Er2Ga3Cu4Ni after structural relaxation.

Summary:
* uncorrected energy: -4.392 eV/atom
* V: 16.481 Å³ per atom
* total moment: 0.0 μB per cell

abc: 3.9011 3.9011 10.8297
angles: 90.00 90.00 90.00
Element x y z (fractional)
1 Er 0.0000 0.5000 0.2378
2 Er 0.5000 0.0000 0.7622
3 Ga 0.0000 0.0000 0.0000
4 Ga 0.0000 0.5000 0.6387
5 Ga 0.5000 0.0000 0.3613
6 Cu 0.0000 0.0000 0.5000
7 Cu 0.0000 0.5000 0.8605
8 Cu 0.5000 0.0000 0.1395
9 Cu 0.5000 0.5000 0.5000
10 Ni 0.5000 0.5000 0.0000



A plane-wave DFT calculation with PBE was carried out for Pr5Sm2Dy6 after structural relaxation.

Summary:
* uncorrected energy: -4.596 eV/atom
* V: 34.079 Å³ per atom
* total moment: 0.0 μB per cell

abc: 11.7763 20.7310 3.6293
angles: 90.00 90.00 90.00
Element x y z (fractional)
1 Pr 0.0000 0.0000 0.0000
2 Pr 0.0833 0.2759 0.0000
3 Pr 0.1998 0.5512 0.0000
4 Pr 0.3002 0.0512 0.0000
5 Pr 0.4167 0.7759 0.0000
6 Pr 0.5000 0.5000 0.0000
7 Pr 0.5833 0.2241 0.0000
8 Pr 0.6998 0.9488 0.0000
9 Pr 0.8002 0.4488 0.0000
10 Pr 0.9167 0.7241 0.0000
11 Sm 0.1732 0.7142 0.5000
12 Sm 0.3268 0.2142 0.5000
13 Sm 0.6732 0.7858 0.5000
14 Sm 0.8268 0.2858 0.5000
15 Dy 0.0617 0.4211 0.5000
16 Dy 0.0781 0.1332 0.5000
17 Dy 0.1783 0.8660 0.0000
18 Dy 0.3217 0.3660 0.0000
19 Dy 0.4219 0.6332 0.5000
20 Dy 0.4383 0.9211 0.5000
21 Dy 0.5617 0.0789 0.5000
22 Dy 0.5781 0.3668 0.5000
23 Dy 0.6783 0.6340 0.0000
24 Dy 0.8217 0.1340 0.0000
25 Dy 0.9219 0.8668 0.5000
26 Dy 0.9383 0.5789 0.5000



A plane-wave DFT calculation with PBE was carried out for Hf2ZrFe after structural relaxation.

Summary:
* uncorrected energy: -8.937 eV/atom
* V: 20.392 Å³ per atom
* offset from the most stable computed form: 1.76 eV per formula unit
* total moment: 0.6 μB per cell

abc: 9.8948 9.8948 9.8948
angles: 18.09 18.09 18.09
Element x y z (fractional)
1 Hf 0.1027 0.1027 0.1027
2 Hf 0.8973 0.8973 0.8973
3 Zr 0.0000 0.0000 0.0000
4 Fe 0.5000 0.5000 0.5000



A plane-wave DFT calculation with PBE was carried out for CaHfAs2Rh5 after structural relaxation.

Summary:
* uncorrected energy: -6.976 eV/atom
* V: 19.892 Å³ per atom
* total moment: 0.0 μB per cell

abc: 4.0441 4.0441 10.9465
angles: 90.00 90.00 90.00
Element x y z (fractional)
1 Ca 0.0000 0.0000 0.0000
2 Hf 0.0000 0.0000 0.5000
3 As 0.5000 0.5000 0.2158
4 As 0.5000 0.5000 0.7842
5 Rh 0.0000 0.5000 0.3361
6 Rh 0.0000 0.5000 0.6639
7 Rh 0.5000 0.0000 0.3361
8 Rh 0.5000 0.0000 0.6639
9 Rh 0.5000 0.5000 0.0000



A plane-wave DFT calculation with PBE was carried out for In2WBr after structural relaxation.

Summary:
* uncorrected energy: -4.362 eV/atom
* V: 23.635 Å³ per atom
* offset from the most stable computed form: 1.22 eV per formula unit
* formation energy from raw total energies: 664 meV/atom
* total moment: 0.0 μB per cell

abc: 7.3129 7.3129 7.3129
angles: 156.35 142.84 44.53
Element x y z (fractional)
1 In 0.1881 0.1881 0.0000
2 In 0.8119 0.8119 0.0000
3 W 0.0000 0.5000 0.5000
4 Br 0.5000 0.0000 0.5000



A plane-wave DFT calculation with PBE was carried out for KTiW3 after structural relaxation.

Summary:
* uncorrected energy: -7.359 eV/atom
* V: 21.835 Å³ per atom
* offset from the most stable computed form: 0.00 eV per formula unit
* total moment: 0.0 μB per cell

abc: 4.7794 4.7794 4.7794
angles: 90.00 90.00 90.00
Element x y z (fractional)
1 K 0.0000 0.0000 0.0000
2 Ti 0.5000 0.5000 0.5000
3 W 0.0000 0.5000 0.5000
4 W 0.5000 0.0000 0.5000
5 W 0.5000 0.5000 0.0000



A plane-wave DFT calculation with PBE was carried out for Ga8Ni3Ag2 after structural relaxation.

Summary:
* uncorrected energy: -3.796 eV/atom
* V: 16.570 Å³ per atom
* total moment: 0.0 μB per cell

abc: 7.8584 3.9932 7.8624
angles: 90.00 119.18 90.00
Element x y z (fractional)
1 Ga 0.1025 0.0000 0.3979
2 Ga 0.1317 0.5000 0.8539
3 Ga 0.3526 0.5000 0.6324
4 Ga 0.3804 0.0000 0.1204
5 Ga 0.6196 0.0000 0.8796
6 Ga 0.6474 0.5000 0.3676
7 Ga 0.8683 0.5000 0.1461
8 Ga 0.8975 0.0000 0.6021
9 Ni 0.2634 0.0000 0.7642
10 Ni 0.5000 0.5000 0.0000
11 Ni 0.7366 0.0000 0.2358
12 Ag 0.2473 0.5000 0.2546
13 Ag 0.7527 0.5000 0.7454



A plane-wave DFT calculation with PBE was carried out for K2PmF6 after structural relaxation.

Summary:
* uncorrected energy: -5.085 eV/atom
* V: 18.198 Å³ per atom
* formation energy from raw total energies: -3066 meV/atom
* total moment: 1.1 μB per cell

abc: 7.2155 7.2155 4.0863
angles: 102.34 102.34 52.43
Element x y z (fractional)
1 K 0.1692 0.1692 0.1608
2 K 0.8308 0.8308 0.8392
3 Pm 0.5000 0.5000 0.5000
4 F 0.1303 0.5800 0.3562
5 F 0.2951 0.7049 0.0000
6 F 0.4200 0.8697 0.6438
7 F 0.5800 0.1303 0.3562
8 F 0.7049 0.2951 0.0000
9 F 0.8697 0.4200 0.6438



A plane-wave DFT calculation with PBE was carried out for CuSbPb4 after structural relaxation.

Summary:
* uncorrected energy: -3.312 eV/atom
* V: 31.322 Å³ per atom
* formation energy from raw total energies: 530 meV/atom
* total moment: 0.0 μB per cell

abc: 6.4294 6.4294 6.4294
angles: 60.00 60.00 60.00
Element x y z (fractional)
1 Cu 0.0000 0.0000 0.0000
2 Sb 0.2500 0.2500 0.2500
3 Pb 0.1235 0.6255 0.6255
4 Pb 0.6255 0.1235 0.6255
5 Pb 0.6255 0.6255 0.1235
6 Pb 0.6255 0.6255 0.6255



A plane-wave DFT calculation with PBE was carried out for CaTlI2N after structural relaxation.

Summary:
* uncorrected energy: -3.388 eV/atom
* V: 37.682 Å³ per atom
* offset from the most stable computed form: 0.00 eV per formula unit
* formation energy from raw total energies: -229 meV/atom
* total moment: 2.0 μB per cell

abc: 6.2866 6.2866 4.7674
angles: 90.00 90.00 90.00
Element x y z (fractional)
1 Ca 0.0000 0.0000 0.0000
2 Tl 0.5000 0.5000 0.5000
3 I 0.0000 0.5000 0.0000
4 I 0.5000 0.0000 0.0000
5 N 0.0000 0.0000 0.5000



A plane-wave DFT calculation with PBE was carried out for Nd3PtO6 after structural relaxation.

Summary:
* uncorrected energy: -7.502 eV/atom
* V: 15.347 Å³ per atom
* formation energy from raw total energies: -2493 meV/atom
* total moment: 1.9 μB per cell

abc: 5.7348 5.9014 10.3189
angles: 90.00 118.49 90.00
Element x y z (fractional)
1 Nd 0.0000 0.0000 0.0000
2 Nd 0.0000 0.5000 0.5000
3 Nd 0.2944 0.0546 0.7586
4 Nd 0.2944 0.4454 0.2586
5 Nd 0.7056 0.5546 0.7414
6 Nd 0.7056 0.9454 0.2414
7 Pt 0.5000 0.0000 0.5000
8 Pt 0.5000 0.5000 0.0000
9 O 0.0871 0.0854 0.2426
10 O 0.0871 0.4146 0.7426
11 O 0.3160 0.7036 0.0876
12 O 0.3160 0.7964 0.5876
13 O 0.3819 0.2214 0.0747
14 O 0.3819 0.2786 0.5747
15 O 0.6181 0.7214 0.4253
16 O 0.6181 0.7786 0.9253
17 O 0.6840 0.2036 0.4124
18 O 0.6840 0.2964 0.9124
19 O 0.9129 0.5854 0.2574
20 O 0.9129 0.9146 0.7574



A plane-wave DFT calculation with PBE was carried out for KCaTe2 after structural relaxation.

Summary:
* uncorrected energy: -3.340 eV/atom
* V: 34.818 Å³ per atom
* formation energy from raw total energies: -995 meV/atom
* total moment: 0.0 μB per cell

abc: 3.8169 5.4468 6.6991
angles: 90.00 90.00 90.00
Element x y z (fractional)
1 K 0.0000 0.0000 0.0000
2 Ca 0.5000 0.5000 0.5014
3 Te 0.0000 0.0000 0.5002
4 Te 0.5000 0.5000 0.0015



A plane-wave DFT calculation with PBE was carried out for BeIr3O after structural relaxation.

Summary:
* uncorrected energy: -6.213 eV/atom
* V: 13.515 Å³ per atom
* offset from the most stable computed form: 0.00 eV per formula unit
* formation energy from raw total energies: 841 meV/atom
* total moment: 0.0 μB per cell

abc: 4.0731 4.0731 4.0731
angles: 90.00 90.00 90.00
Element x y z (fractional)
1 Be 0.0000 0.0000 0.0000
2 Ir 0.0000 0.5000 0.5000
3 Ir 0.5000 0.0000 0.5000
4 Ir 0.5000 0.5000 0.0000
5 O 0.5000 0.5000 0.5000



A plane-wave DFT calculation with PBE was carried out for SrAu after structural relaxation.

Summary:
* uncorrected energy: -2.789 eV/atom
* V: 44.182 Å³ per atom
* total moment: 0.5 μB per cell

abc: 4.9995 4.9995 4.9995
angles: 60.00 60.00 60.00
Element x y z (fractional)
1 Sr 0.0000 0.0000 0.0000
2 Au 0.7500 0.7500 0.7500



A plane-wave DFT calculation with PBE was carried out for ZnRuPt6 after structural relaxation.

Summary:
* uncorrected energy: -5.995 eV/atom
* V: 15.261 Å³ per atom
* total moment: 1.9 μB per cell

abc: 3.9342 3.9342 7.8879
angles: 90.00 90.00 90.00
Element x y z (fractional)
1 Zn 0.0000 0.0000 0.0000
2 Ru 0.0000 0.0000 0.5000
3 Pt 0.0000 0.5000 0.2510
4 Pt 0.0000 0.5000 0.7490
5 Pt 0.5000 0.0000 0.2510
6 Pt 0.5000 0.0000 0.7490
7 Pt 0.5000 0.5000 0.0000
8 Pt 0.5000 0.5000 0.5000



A plane-wave DFT calculation with PBE was carried out for Cs2Na4Br after structural relaxation.

Summary:
* uncorrected energy: -1.510 eV/atom
* V: 56.783 Å³ per atom
* formation energy from raw total energies: -273 meV/atom
* total moment: 0.0 μB per cell

abc: 11.9290 11.9290 11.9290
angles: 151.02 151.02 41.44
Element x y z (fractional)
1 Cs 0.1770 0.1770 0.0000
2 Cs 0.8230 0.8230 0.0000
3 Na 0.0000 0.5000 0.5000
4 Na 0.3686 0.3686 0.0000
5 Na 0.5000 0.0000 0.5000
6 Na 0.6314 0.6314 0.0000
7 Br 0.5000 0.5000 0.0000



A plane-wave DFT calculation with PBE was carried out for LaCuSb after structural relaxation.

Summary:
* uncorrected energy: -5.046 eV/atom
* V: 25.433 Å³ per atom
* formation energy from raw total energies: -664 meV/atom
* total moment: 0.0 μB per cell

abc: 4.7608 4.7608 4.7608
angles: 60.00 60.00 60.00
Element x y z (fractional)
1 La 0.0000 0.0000 0.0000
2 Cu 0.7500 0.7500 0.7500
3 Sb 0.5000 0.5000 0.5000



A plane-wave DFT calculation with PBE was carried out for Al2GaTc after structural relaxation.

Summary:
* uncorrected energy: -5.546 eV/atom
* V: 16.321 Å³ per atom
* total moment: 0.0 μB per cell

abc: 6.4390 8.0872 5.0147
angles: 90.00 90.00 90.00
Element x y z (fractional)
1 Al 0.1824 0.0448 0.0795
2 Al 0.1824 0.4552 0.0795
3 Al 0.3176 0.5448 0.5795
4 Al 0.3176 0.9552 0.5795
5 Al 0.6824 0.0448 0.4205
6 Al 0.6824 0.4552 0.4205
7 Al 0.8176 0.5448 0.9205
8 Al 0.8176 0.9552 0.9205
9 Ga 0.0160 0.2500 0.6244
10 Ga 0.4840 0.7500 0.1244
11 Ga 0.5160 0.2500 0.8756
12 Ga 0.9840 0.7500 0.3756
13 Tc 0.1313 0.7500 0.8697
14 Tc 0.3687 0.2500 0.3697
15 Tc 0.6313 0.7500 0.6303
16 Tc 0.8687 0.2500 0.1303